VASP calculation (PBE) on a geometry-optimized ScCoBr2 structure.

Cell lengths 3.8798, 3.8798, 21.8153 Å; angles 90.00, 90.00, 120.00 degrees
With the nearest neighbours (Å) after each atom.
Space group R3m (No. 160, hexagonal axes)
Unique sites:
1 Sc 0.0000 0.0000 0.0000 x3  3 Co 2.65, 6 Br 2.85-2.96
2 Co 0.0000 0.0000 0.2684 x3  3 Br 2.30
3 Br 0.0000 0.0000 0.5783 x3  3 Co 2.30
4 Br 0.0000 0.0000 0.7474 x3  3 Sc 2.85

Summary:
The value obtained for the uncorrected formation energy is -0.66 eV/atom.



VASP calculation (PBE) on a geometry-optimized Dy9Er11Tm4 structure.

Cell lengths 16.4810, 24.8875, 3.6188 Å; angles 90.00, 90.00, 90.00 degrees
With the nearest neighbours (Å) after each atom.
Space group Cmmm (No. 65)
Unique sites:
1 Dy 0.0000 0.0000 0.0000 x2  4 Tm 3.59, 2 Dy 3.62, 8 Er 3.76-3.87
2 Dy 0.1024 0.2335 0.0000 x8  3 Dy 3.38-3.62, 1 Tm 3.41, 8 Er 3.46-3.63
3 Dy 0.1418 0.4273 0.0000 x8  1 Tm 3.42, 8 Er 3.47-3.66, 3 Dy 3.62
4 Er 0.0000 0.1325 0.5000 x4  4 Tm 3.23, 4 Dy 3.53
5 Er 0.0000 0.3403 0.5000 x4  5 Er 3.62-3.97, 8 Dy 3.63-3.66
6 Er 0.0000 0.5000 0.5000 x2  8 Dy 3.47, 2 Er 3.62
7 Er 0.2073 0.0000 0.5000 x4  4 Tm 3.22, 4 Dy 3.57
8 Er 0.2259 0.3190 0.5000 x8  2 Tm 3.33, 6 Dy 3.46-3.60, 3 Er 3.53-3.62
9 Tm 0.1551 0.1011 0.0000 x8  6 Er 3.22-3.33, 3 Dy 3.41-3.59

Summary:
The calculation puts the energy of formation at 4.62 kJ per mole of atoms.



What is the formula in the second record?
Dy9Er11Tm4